[1]
A relaxed structure of BaRu5. Source: Alexandria, functional PBE.

POSCAR file:
```
BaRu5
1.0
5.9880 -1.4292 0.0000
5.9880 1.4292 0.0000
-0.6452 0.0000 6.4470
Ba Ru
1 5
Cartesian
0.0000 0.0000 0.0000
0.3160 0.0000 3.4085
3.2172 0.0000 0.3545
4.0065 0.0000 3.2434
8.1197 0.0000 2.1781
8.2242 0.0000 4.6873
```

Energy of formation: 0.54 eV per atom
SG: Cm, No. 8

[2]
A relaxed structure of Ba3Ru. Source: Alexandria, functional PBE.

POSCAR file:
```
Ba3Ru
1.0
0.0000 4.1150 4.1150
4.1150 0.0000 4.1150
4.1150 4.1150 0.0000
Ba Ru
3 1
Cartesian
0.0000 0.0000 0.0000
2.0575 2.0575 2.0575
6.1725 6.1725 6.1725
4.1150 4.1150 4.1150
```

Energy of formation: 0.61 eV per atom
SG: Fm-3m, No. 225

[3]
A relaxed structure of BaRu. Source: Alexandria, functional PBE.

POSCAR file:
```
BaRu
1.0
-2.1952 2.1952 5.2145
2.1952 -2.1952 5.2145
2.1952 2.1952 -5.2145
Ba Ru
2 2
Cartesian
2.1952 1.0976 1.3036
0.0000 1.0976 3.9109
2.1952 -1.0976 3.9109
0.0000 3.2928 1.3036
```

Energy of formation: 1.04 eV per atom
SG: I4_1/amd, No. 141

[4]
A relaxed structure of Ba3Ru. Source: Alexandria, functional PBE.

POSCAR file:
```
Ba3Ru
1.0
4.3066 0.0000 0.0000
-2.1533 3.7296 0.0000
0.0000 0.0000 11.2352
Ba Ru
3 1
Cartesian
0.0000 0.0000 0.0000
0.0000 2.4864 3.7653
0.0000 2.4864 7.4699
0.0000 0.0000 5.6176
```

Energy of formation: 0.49 eV per atom
SG: P-6m2, No. 187

[5]
A relaxed structure of Ba2Ru. Source: Alexandria, functional PBE.

POSCAR file:
```
Ba2Ru
1.0
8.3770 0.0000 0.0000
-4.1885 7.2547 0.0000
0.0000 0.0000 4.9210
Ba Ru
6 3
Cartesian
-1.1028 1.9100 0.0000
-2.4988 4.3280 2.4605
2.2055 0.0000 0.0000
1.6897 2.9266 2.4605
4.9976 0.0000 2.4605
3.0857 5.3446 0.0000
0.0000 0.0000 2.4605
0.0000 4.8364 0.0000
4.1885 2.4182 0.0000
```

Energy of formation: 0.47 eV per atom
SG: P-62m, No. 189

[6]
A relaxed structure of BaRu5. Source: Alexandria, functional PBE.

POSCAR file:
```
BaRu5
1.0
0.0000 3.7586 3.7586
3.7586 0.0000 3.7586
3.7586 3.7586 0.0000
Ba Ru
1 5
Cartesian
0.0000 0.0000 0.0000
2.8300 2.8300 2.8300
4.6871 4.6871 2.8300
4.6871 2.8300 4.6871
5.6379 5.6379 5.6379
2.8300 4.6871 4.6871
```

Energy of formation: 0.90 eV per atom
SG: F-43m, No. 216

[7]
A relaxed structure of BaRu. Source: Alexandria, functional PBE.

POSCAR file:
```
BaRu
1.0
0.0000 3.1221 3.1221
3.1221 0.0000 3.1221
3.1221 3.1221 0.0000
Ba Ru
1 1
Cartesian
0.0000 0.0000 0.0000
3.1221 3.1221 3.1221
```

Energy of formation: 1.35 eV per atom
SG: Fm-3m, No. 225

[8]
A relaxed structure of BaRu. Source: Alexandria, functional PBE.

POSCAR file:
```
BaRu
1.0
0.0000 3.2607 3.2607
3.2607 0.0000 3.2607
3.2607 3.2607 0.0000
Ba Ru
1 1
Cartesian
0.0000 0.0000 0.0000
4.8911 4.8911 4.8911
```

Energy of formation: 1.73 eV per atom
SG: F-43m, No. 216

[9]
A relaxed structure of Ba3Ru. Source: Alexandria, functional PBE.

POSCAR file:
```
Ba3Ru
1.0
3.8783 0.0000 0.0000
0.0000 3.8783 0.0000
0.0000 0.0000 11.1254
Ba Ru
3 1
Cartesian
0.0000 0.0000 0.0000
1.9391 1.9391 3.7325
1.9391 1.9391 7.3929
0.0000 0.0000 5.5627
```

Energy of formation: 0.41 eV per atom
SG: P4/mmm, No. 123

[10]
A relaxed structure of BaRu. Source: Alexandria, functional PBE.

POSCAR file:
```
BaRu
1.0
0.0000 4.7674 7.4817
3.0959 0.0000 7.4817
3.0959 4.7674 0.0000
Ba Ru
4 4
Cartesian
2.3219 0.4549 5.6113
3.8699 2.8386 9.3521
2.3219 6.6963 5.6113
3.8699 9.0800 9.3521
2.3219 3.5756 4.4500
2.3219 3.5756 6.7726
3.8699 5.9593 8.1909
3.8699 5.9593 10.5134
```

Energy of formation: 0.63 eV per atom
SG: Fddd, No. 70